Record 1
Compound: InHgBiS4
Source: the Alexandria database
Functional: PBE
Structure: optimized geometry

The spin magnetization is 0.00 μB per cell. As for the final energy: -3.695 eV per atom. Its density of states at the Fermi level is 0.7 states/eV/cell.

The structure belongs to space group Imma (No. 74); the cell edges are 7.9814, 8.0174 and 11.3719 Å and the angles 90.00°, 90.00° and 90.00°. The distinct sites, in fractional coordinates, are In at (0.0000, 0.0000, 0.0000), Hg at (0.0000, 0.2500, 0.3757), Bi at (0.2500, 0.2500, 0.7500), S at (0.0000, 0.0046, 0.7674) and S at (0.2252, 0.2500, 0.9981).


Record 2
Compound: BeTlCu3
Source: the Alexandria database
Functional: PBE
Structure: optimized geometry

The spin magnetization is 0.00 μB per cell. The calculation puts the formation enthalpy at 0 K at 1.4110 eV per atom. Its density of states at the Fermi level is 2.2 states/eV/cell. For the energy above the most stable polymorph in this dataset, the calculation gives 5.06 eV per formula unit.

The structure belongs to space group Pm-3m (No. 221); the cell edges are 4.8677, 4.8677 and 4.8677 Å and the angles 90.00°, 90.00° and 90.00°. The distinct sites, in fractional coordinates, are Be at (0.0000, 0.0000, 0.0000), Tl at (0.5000, 0.5000, 0.5000) and Cu at (0.0000, 0.5000, 0.5000).


Record 3
Compound: Tb6RhSe2S3
Source: the Alexandria database
Functional: PBE
Structure: optimized geometry

The spin magnetization is 0.00 μB per cell. As for the final energy: -6.256 eV per atom. Its density of states at the Fermi level is 10.4 states/eV/cell.

The structure belongs to space group C2/m (No. 12); the cell edges are 17.5675, 3.9584 and 8.1256 Å and the angles 90.00°, 103.12° and 90.00°. The distinct sites, in fractional coordinates, are Tb at (0.0032, 0.0000, 0.2613), Tb at (0.1625, 0.5000, 0.0934), Tb at (0.1644, 0.5000, 0.5727), Rh at (0.0000, 0.5000, 0.5000), Se at (0.1681, 0.0000, 0.8379), S at (0.0000, 0.5000, 0.0000) and S at (0.1706, 0.0000, 0.3341).


Record 4
Compound: CeFe3Co2
Source: the Alexandria database
Functional: PBE
Structure: optimized geometry

The spin magnetization is 33.67 μB per cell. The calculation puts the formation enthalpy at 0 K at 0.0320 eV per atom. Its density of states at the Fermi level is 33.5 states/eV/cell.

The structure belongs to space group Cmcm (No. 63); the cell edges are 8.8971, 7.8223 and 5.0232 Å and the angles 90.00°, 90.00° and 90.00°. The distinct sites, in fractional coordinates, are Ce at (0.0000, 0.1729, 0.2500), Fe at (0.0000, 0.4636, 0.7500), Fe at (0.1717, 0.2276, 0.7500) and Co at (0.2254, 0.5000, 0.0000).


Record 5
Compound: Ac2Ti2S7
Source: the Alexandria database
Functional: PBE
Structure: optimized geometry

The spin magnetization is 0.00 μB per cell. As for the final energy: -6.354 eV per atom.

The structure belongs to space group C2/m (No. 12); the cell edges are 8.1708, 12.7433 and 6.6443 Å and the angles 90.00°, 100.10° and 90.00°. The distinct sites, in fractional coordinates, are Ac at (0.0000, 0.1810, 0.0000), Ti at (0.2473, 0.0000, 0.6088), S at (0.0000, 0.5000, 0.5000), S at (0.0704, 0.0000, 0.2865) and S at (0.2179, 0.3428, 0.2191).


Record 6
Compound: Pr5Sm3Ho
Source: the Alexandria database
Functional: PBE
Structure: optimized geometry

The spin magnetization is 0.00 μB per cell. The calculation puts the formation enthalpy at 0 K at 0.5367 eV per atom. Its density of states at the Fermi level is 56.7 states/eV/cell. For the energy above the most stable polymorph in this dataset, the calculation gives 2.53 eV per formula unit.

The structure belongs to space group C2/m (No. 12); the cell edges are 11.6078, 11.5586 and 11.7992 Å and the angles 90.00°, 115.61° and 90.00°. The distinct sites, in fractional coordinates, are Pr at (0.0000, 0.2451, 0.0000), Pr at (0.0274, 0.0000, 0.3798), Pr at (0.1950, 0.0000, 0.9066), Pr at (0.2027, 0.2663, 0.6494), Sm at (0.0000, 0.5000, 0.0000), Sm at (0.0000, 0.5000, 0.5000), Sm at (0.1207, 0.0000, 0.1561), Sm at (0.2080, 0.5000, 0.3486) and Ho at (0.0901, 0.5000, 0.7943).


Record 7
Compound: Mg2SnRh2
Source: the Alexandria database
Functional: PBE
Structure: optimized geometry

The spin magnetization is 0.00 μB per cell. The calculation puts the formation enthalpy at 0 K at -0.0995 eV per atom. Its density of states at the Fermi level is 5.2 states/eV/cell.

The structure belongs to space group I4/mmm (No. 139); the cell edges are 3.8180, 3.8180 and 12.5948 Å and the angles 90.00°, 90.00° and 90.00°. The distinct sites, in fractional coordinates, are Mg at (0.0000, 0.5000, 0.2500), Sn at (0.0000, 0.0000, 0.0000) and Rh at (0.0000, 0.0000, 0.3972).


Record 8
Compound: MgAl2P
Source: the Alexandria database
Functional: PBE
Structure: optimized geometry

The spin magnetization is 0.00 μB per cell. The calculation puts the formation enthalpy at 0 K at 0.0550 eV per atom. Its density of states at the Fermi level is 1.3 states/eV/cell. For the energy above the most stable polymorph in this dataset, the calculation gives 0.82 eV per formula unit.

The structure belongs to space group P2/m (No. 10); the cell edges are 2.8617, 4.5189 and 5.4555 Å and the angles 90.00°, 100.49° and 90.00°. The distinct sites, in fractional coordinates, are Mg at (0.0000, 0.0000, 0.0000), Al at (0.4139, 0.5000, 0.7409) and P at (0.5000, 0.0000, 0.5000).


Record 9
Compound: AcLaSnN
Source: the Alexandria database
Functional: PBE
Structure: optimized geometry

The spin magnetization is 0.00 μB per cell. As for the final energy: -6.250 eV per atom. Its density of states at the Fermi level is 7.5 states/eV/cell.

The structure belongs to space group P4/nmm (No. 129, origin choice 2); the cell edges are 4.9878, 4.9878 and 9.4335 Å and the angles 90.00°, 90.00° and 90.00°. The distinct sites, in fractional coordinates, are Ac at (0.2500, 0.7500, 0.0000), La at (0.2500, 0.2500, 0.3315), Sn at (0.2500, 0.2500, 0.6991) and N at (0.2500, 0.2500, 0.0929).


Record 10
Compound: Sm8Dy6Y
Source: the Alexandria database
Functional: PBE
Structure: optimized geometry

The spin magnetization is 0.00 μB per cell. The calculation puts the formation enthalpy at 0 K at 0.1777 eV per atom. Its density of states at the Fermi level is 23.0 states/eV/cell. For the energy above the most stable polymorph in this dataset, the calculation gives 0.77 eV per formula unit.

The structure belongs to space group P-3 (No. 147); the cell edges are 9.4139, 9.4139 and 6.5358 Å and the angles 90.00°, 90.00° and 120.00°. The distinct sites, in fractional coordinates, are Sm at (0.0333, 0.7478, 0.1643), Sm at (0.3333, 0.6667, 0.1202), Dy at (0.0914, 0.6548, 0.6594) and Y at (0.0000, 0.0000, 0.5000).


Record 11
Compound: K3ErCl6
Source: the Alexandria database
Functional: PBE
Structure: optimized geometry

The spin magnetization is 0.00 μB per cell. As for the final energy: -4.029 eV per atom. Its density of states at the Fermi level is 0.0 states/eV/cell.

The structure belongs to space group P2_1/c (No. 14); the cell edges are 13.2106, 7.8409 and 12.8143 Å and the angles 90.00°, 109.92° and 90.00°. The distinct sites, in fractional coordinates, are K at (0.1125, 0.0429, 0.3720), K at (0.3098, 0.0526, 0.7683), K at (0.3269, 0.5790, 0.6111), Er at (0.0000, 0.0000, 0.0000), Er at (0.5000, 0.0000, 0.5000), Cl at (0.0944, 0.0378, 0.8524), Cl at (0.1070, 0.7107, 0.0684), Cl at (0.1547, 0.1660, 0.1469), Cl at (0.3378, 0.7024, 0.8957), Cl at (0.3569, 0.2342, 0.4955) and Cl at (0.4950, 0.6208, 0.1911).